VASP calculation (PBE-GGA) on a geometry-optimized Nd2SnAs3Pd4 structure.

The structure in POSCAR format:
```
Nd2SnAs3Pd4
1.0
-1.1414 2.7800 3.0255
-4.0742 -1.1722 -0.4600
1.3883 -7.8681 7.7535
Nd Sn As Pd
2 1 3 4
Direct
0.5000 0.0000 0.2279 Nd
0.0000 0.5000 0.7721 Nd
0.5000 0.5000 0.5000 Sn
0.0000 0.0000 0.5000 As
0.5000 0.0000 0.8683 As
0.0000 0.5000 0.1317 As
0.5000 0.5000 0.0000 Pd
0.0000 0.0000 0.0000 Pd
0.5000 0.0000 0.6479 Pd
0.0000 0.5000 0.3521 Pd
```

Formation enthalpy at 0 K: -818.1 kJ/mol of formula units
Energy: -5.674 eV/atom
SG: No. 115
D(E_F): 4.892 states/eV/f.u.

=====

VASP calculation (PBE-GGA) on a geometry-optimized MgBe2Ag structure.

The structure in POSCAR format:
```
MgBe2Ag
1.0
-4.5123 0.8205 0.3312
-2.2140 -2.8753 -2.8238
3.1803 -0.7785 3.2285
Be Mg Ag
2 1 1
Direct
0.0000 0.0000 0.0000 Be
0.2500 0.7500 0.5000 Be
0.5000 0.5000 0.0000 Mg
0.7500 0.2500 0.5000 Ag
```

Formation enthalpy at 0 K: 101.0 kJ/mol of formula units
Energy: -2.713 eV/atom
SG: No. 119
D(E_F): 0.915 states/eV/f.u.

=====

VASP calculation (PBE-GGA) on a geometry-optimized LaSc3S structure.

The structure in POSCAR format:
```
LaSc3S
1.0
-0.7659 4.4722 2.1351
-2.9704 -2.1437 3.4246
3.9669 -0.7416 2.9765
Sc S La
3 1 1
Direct
0.0000 0.5000 0.0000 Sc
0.0000 0.0000 0.5000 Sc
0.5000 0.0000 0.0000 Sc
0.0000 0.0000 0.0000 S
0.5000 0.5000 0.5000 La
```

ΔE_f (raw): -0.5885 eV/atom
Energy: -6.198 eV/atom
SG: No. 221
D(E_F): 9.529 states/eV/f.u.

=====

VASP calculation (PBE-GGA) on a geometry-optimized ScV2Pt structure.

The structure in POSCAR format:
```
ScV2Pt
1.0
-1.4267 -7.1747 -0.3884
6.0785 -0.9940 -3.9656
3.6865 -4.4731 0.0060
Sc Pt V
2 2 4
Direct
0.5000 0.5000 0.0000 Sc
0.2500 0.7500 0.5000 Sc
0.0000 0.0000 0.0000 Pt
0.7500 0.2500 0.5000 Pt
0.6598 0.1250 0.2500 V
0.0902 0.6250 0.2500 V
0.3750 0.3402 0.7500 V
0.8750 0.9098 0.7500 V
```

Formation enthalpy at 0 K: 44.3 kJ/mol of formula units
Energy: -7.538 eV/atom
SG: No. 122
D(E_F): 5.573 states/eV/f.u.

=====

VASP calculation (PBE-GGA) on a geometry-optimized MgMnCr2 structure.

The structure in POSCAR format:
```
MgMnCr2
1.0
-2.9899 -2.0216 -1.3464
1.6475 -1.3971 -1.5609
1.4534 -4.2434 3.1440
Cr Mg Mn
2 1 1
Direct
0.0000 0.0127 0.0043 Cr
0.5000 0.1991 0.2081 Cr
0.0000 0.4941 0.5005 Mg
0.5000 0.7941 0.7871 Mn
```

Formation enthalpy at 0 K: 147.4 kJ/mol of formula units
Energy: -7.121 eV/atom
SG: No. 6
D(E_F): 3.409 states/eV/f.u.

=====

VASP calculation (PBE-GGA) on a geometry-optimized LiNiP2Cl structure.

The structure in POSCAR format:
```
LiNiP2Cl
1.0
4.1041 0.0000 0.0000
0.0000 4.1041 0.0000
0.0000 0.0000 8.5944
Ni Li P Cl
1 1 2 1
Direct
0.0000 0.0000 0.0000 Ni
0.5000 0.5000 0.5000 Li
0.0000 0.5000 0.0000 P
0.5000 0.0000 0.0000 P
0.0000 0.0000 0.5000 Cl
```

ΔE_f (raw): -0.1428 eV/atom
Energy: -4.215 eV/atom
SG: No. 123
D(E_F): 1.465 states/eV/f.u.

=====

VASP calculation (PBE-GGA) on a geometry-optimized CaAlAsO structure.

The structure in POSCAR format:
```
CaAlAsO
1.0
-0.3118 3.0138 -2.4944
1.9803 -3.2210 -1.0518
-9.5922 -4.5096 -4.2495
Ca Al As O
2 2 2 2
Direct
0.3333 0.6667 0.9320 Ca
0.6667 0.3333 0.4320 Ca
0.0000 0.0000 0.1506 Al
0.0000 0.0000 0.6506 Al
0.6667 0.3333 0.7343 As
0.3333 0.6667 0.2343 As
0.0000 0.0000 0.4954 O
0.0000 0.0000 0.9954 O
```

ΔE_f (raw): -1.8612 eV/atom
Energy: -5.699 eV/atom
SG: No. 186
D(E_F): 0.000 states/eV/f.u.

=====

VASP calculation (PBE-GGA) on a geometry-optimized InGaTc2C structure.

The structure in POSCAR format:
```
InGaTc2C
1.0
-1.1041 -0.0499 -4.0390
3.8481 -1.2392 -1.0366
-1.1869 -3.9983 0.3738
C Tc Ga In
1 2 1 1
Direct
0.0000 0.0000 0.0000 C
0.0000 0.0000 0.5000 Tc
0.5000 0.0000 0.0000 Tc
0.0000 0.5000 0.0000 Ga
0.5000 0.5000 0.5000 In
```

Formation enthalpy at 0 K: 218.5 kJ/mol of formula units
Energy: -6.691 eV/atom
SG: No. 123
D(E_F): 5.185 states/eV/f.u.